Below is a relaxed KAuI3 crystal, with properties calculated at the PBE-GGA level.

a = 4.6443 Å, b = 4.6443 Å, c = 23.9208 Å
α = 90.00°, β = 90.00°, γ = 120.00°
Space group P6_3/mmc (No. 194)
Inequivalent atoms, fractional coordinates:
K  0.0000  0.0000  0.0000 [2 per cell]
Au  0.3333  0.6667  0.2500 [2 per cell]
I  0.0000  0.0000  0.2500 [2 per cell]
I  0.3333  0.6667  0.5961 [4 per cell]

Calculated total energy: -21.71 eV per cell
Uncorrected formation energy: -366.2 meV per atom